1.
First-principles (PBE-GGA) data for an optimized crystal structure of Tb2Al3InNi2, as listed in OQMD via LeMat-Bulk.

Values from the calculation:
V ... 18.6 Å³ per atom
Density ... 7.05 g/cm³
Total DFT energy (no corrections) ... -0.35803 Ry/atom

Structure (CIF):
```
data_Tb2Al3InNi2
_chemical_formula_sum 'Tb2 Al3 In1 Ni2'
_cell_length_a 5.548
_cell_length_b 5.548
_cell_length_c 7.004
_cell_angle_alpha 90.10
_cell_angle_beta 90.10
_cell_angle_gamma 43.58
_symmetry_space_group_name_H-M 'P 1'
_symmetry_Int_Tables_number 1
loop_
_symmetry_equiv_pos_as_xyz
'x,y,z'
loop_
_atom_site_label
_atom_site_fract_x
_atom_site_fract_y
_atom_site_fract_z
_atom_site_occupancy
Al1 0.345 0.345 0.441 1
Al2 0.660 0.660 0.551 1
Al3 0.343 0.343 0.055 1
In1 0.642 0.642 0.951 1
Tb1 0.935 0.935 0.745 1
Tb2 0.061 0.061 0.263 1
Ni1 0.223 0.223 0.737 1
Ni2 0.790 0.790 0.256 1
```

---

2.
First-principles (PBE-GGA) data for an optimized crystal structure of RbTmB, as listed in OQMD via LeMat-Bulk.

Values from the calculation:
V ... 26.8 Å³ per atom
Density ... 5.49 g/cm³
Energy relative to the lowest polymorph listed for this composition ... 0.000 eV/atom
Total DFT energy (no corrections) ... -0.20721 Ry/atom

Structure (CIF):
```
data_RbTmB
_chemical_formula_sum 'Rb1 Tm1 B1'
_cell_length_a 4.842
_cell_length_b 4.842
_cell_length_c 4.842
_cell_angle_alpha 60.00
_cell_angle_beta 60.00
_cell_angle_gamma 60.00
_symmetry_space_group_name_H-M 'P 1'
_symmetry_Int_Tables_number 1
loop_
_symmetry_equiv_pos_as_xyz
'x,y,z'
loop_
_atom_site_label
_atom_site_fract_x
_atom_site_fract_y
_atom_site_fract_z
_atom_site_occupancy
Rb1 0.250 0.250 0.250 1
B1 0.000 0.000 0.000 1
Tm1 0.750 0.750 0.750 1
```

---

3.
First-principles (PBE-GGA) data for an optimized crystal structure of LiScAu2, as listed in OQMD via LeMat-Bulk.

Values from the calculation:
V ... 18.5 Å³ per atom
Density ... 10.02 g/cm³
Energy relative to the lowest polymorph listed for this composition ... 0.032 eV/atom
Total DFT energy (no corrections) ... -0.32026 Ry/atom

Structure (CIF):
```
data_LiScAu2
_chemical_formula_sum 'Li2 Sc2 Au4'
_cell_length_a 4.423
_cell_length_b 4.423
_cell_length_c 8.726
_cell_angle_alpha 90.00
_cell_angle_beta 90.00
_cell_angle_gamma 120.00
_symmetry_space_group_name_H-M 'P 1'
_symmetry_Int_Tables_number 1
loop_
_symmetry_equiv_pos_as_xyz
'x,y,z'
loop_
_atom_site_label
_atom_site_fract_x
_atom_site_fract_y
_atom_site_fract_z
_atom_site_occupancy
Au1 0.333 0.667 0.587 1
Au2 0.667 0.333 0.413 1
Au3 0.667 0.333 0.087 1
Au4 0.333 0.667 0.913 1
Sc1 0.333 0.667 0.250 1
Sc2 0.667 0.333 0.750 1
Li1 0.000 0.000 0.000 1
Li2 0.000 0.000 0.500 1
```

---

4.
First-principles (PBE-GGA) data for an optimized crystal structure of Sc2GaMo, as listed in OQMD via LeMat-Bulk.

Values from the calculation:
V ... 18.1 Å³ per atom
Density ... 5.86 g/cm³
Total DFT energy (no corrections) ... -0.48921 Ry/atom

Structure (CIF):
```
data_Sc2GaMo
_chemical_formula_sum 'Sc2 Ga1 Mo1'
_cell_length_a 4.679
_cell_length_b 4.679
_cell_length_c 4.679
_cell_angle_alpha 60.00
_cell_angle_beta 60.00
_cell_angle_gamma 60.00
_symmetry_space_group_name_H-M 'P 1'
_symmetry_Int_Tables_number 1
loop_
_symmetry_equiv_pos_as_xyz
'x,y,z'
loop_
_atom_site_label
_atom_site_fract_x
_atom_site_fract_y
_atom_site_fract_z
_atom_site_occupancy
Sc1 0.750 0.750 0.750 1
Sc2 0.000 0.000 0.000 1
Mo1 0.250 0.250 0.250 1
Ga1 0.500 0.500 0.500 1
```

---

5.
First-principles (PBE-GGA) data for an optimized crystal structure of TaInFeTc, as listed in OQMD via LeMat-Bulk.

Values from the calculation:
V ... 16.7 Å³ per atom
Density ... 11.18 g/cm³
Energy relative to the lowest polymorph listed for this composition ... 0.330 eV/atom
Total DFT energy (no corrections) ... -0.58590 Ry/atom

Structure (CIF):
```
data_TaInFeTc
_chemical_formula_sum 'Ta1 In1 Fe1 Tc1'
_cell_length_a 4.554
_cell_length_b 4.554
_cell_length_c 4.554
_cell_angle_alpha 60.00
_cell_angle_beta 60.00
_cell_angle_gamma 60.00
_symmetry_space_group_name_H-M 'P 1'
_symmetry_Int_Tables_number 1
loop_
_symmetry_equiv_pos_as_xyz
'x,y,z'
loop_
_atom_site_label
_atom_site_fract_x
_atom_site_fract_y
_atom_site_fract_z
_atom_site_occupancy
Fe1 0.750 0.750 0.750 1
Ta1 0.250 0.250 0.250 1
Tc1 0.500 0.500 0.500 1
In1 0.000 0.000 0.000 1
```

---

6.
First-principles (PBE-GGA) data for an optimized crystal structure of LuCuTcSb, as listed in OQMD via LeMat-Bulk.

Values from the calculation:
V ... 17.8 Å³ per atom
Density ... 10.71 g/cm³
Energy relative to the lowest polymorph listed for this composition ... 0.000 eV/atom
Total DFT energy (no corrections) ... -0.42165 Ry/atom

Structure (CIF):
```
data_LuCuTcSb
_chemical_formula_sum 'Lu1 Cu1 Tc1 Sb1'
_cell_length_a 4.649
_cell_length_b 4.649
_cell_length_c 4.649
_cell_angle_alpha 60.00
_cell_angle_beta 60.00
_cell_angle_gamma 60.00
_symmetry_space_group_name_H-M 'P 1'
_symmetry_Int_Tables_number 1
loop_
_symmetry_equiv_pos_as_xyz
'x,y,z'
loop_
_atom_site_label
_atom_site_fract_x
_atom_site_fract_y
_atom_site_fract_z
_atom_site_occupancy
Cu1 0.750 0.750 0.750 1
Sb1 0.000 0.000 0.000 1
Tc1 0.250 0.250 0.250 1
Lu1 0.500 0.500 0.500 1
```

---

7.
First-principles (PBE-GGA) data for an optimized crystal structure of HgIF, as listed in OQMD via LeMat-Bulk.

Values from the calculation:
V ... 28.4 Å³ per atom
Density ... 6.74 g/cm³
Total DFT energy (no corrections) ... -0.15488 Ry/atom

Structure (CIF):
```
data_HgIF
_chemical_formula_sum 'Hg2 I2 F2'
_cell_length_a 4.400
_cell_length_b 4.408
_cell_length_c 8.915
_cell_angle_alpha 80.73
_cell_angle_beta 89.55
_cell_angle_gamma 89.50
_symmetry_space_group_name_H-M 'P 1'
_symmetry_Int_Tables_number 1
loop_
_symmetry_equiv_pos_as_xyz
'x,y,z'
loop_
_atom_site_label
_atom_site_fract_x
_atom_site_fract_y
_atom_site_fract_z
_atom_site_occupancy
Hg1 0.751 0.685 0.839 1
Hg2 0.249 0.315 0.161 1
I1 0.750 0.222 0.644 1
I2 0.250 0.778 0.356 1
F1 0.249 0.695 0.954 1
F2 0.751 0.305 0.046 1
```

---

8.
First-principles (PBE-GGA) data for an optimized crystal structure of SiTe4W, as listed in OQMD via LeMat-Bulk.

Values from the calculation:
V ... 27.9 Å³ per atom
Density ... 7.17 g/cm³
Total DFT energy (no corrections) ... -0.37313 Ry/atom

Structure (CIF):
```
data_SiTe4W
_chemical_formula_sum 'Si2 Te8 W2'
_cell_length_a 8.552
_cell_length_b 8.552
_cell_length_c 10.688
_cell_angle_alpha 90.00
_cell_angle_beta 90.00
_cell_angle_gamma 154.68
_symmetry_space_group_name_H-M 'P 1'
_symmetry_Int_Tables_number 1
loop_
_symmetry_equiv_pos_as_xyz
'x,y,z'
loop_
_atom_site_label
_atom_site_fract_x
_atom_site_fract_y
_atom_site_fract_z
_atom_site_occupancy
Te1 0.381 0.619 0.029 1
Te2 0.868 0.132 0.497 1
Te3 0.773 0.227 0.795 1
Te4 0.227 0.773 0.295 1
Te5 0.467 0.533 0.286 1
Te6 0.132 0.868 0.997 1
Te7 0.619 0.381 0.529 1
Te8 0.533 0.467 0.786 1
W1 0.846 0.154 0.222 1
W2 0.154 0.846 0.722 1
Si1 0.258 0.742 0.539 1
Si2 0.742 0.258 0.039 1
```

---

9.
First-principles (PBE-GGA) data for an optimized crystal structure of CdBiAsO, as listed in OQMD via LeMat-Bulk.

Values from the calculation:
V ... 22.6 Å³ per atom
Density ... 7.59 g/cm³
Energy relative to the lowest polymorph listed for this composition ... 0.080 eV/atom
Total DFT energy (no corrections) ... -0.29614 Ry/atom

Structure (CIF):
```
data_CdBiAsO
_chemical_formula_sum 'Cd2 Bi2 As2 O2'
_cell_length_a 13.937
_cell_length_b 13.937
_cell_length_c 13.937
_cell_angle_alpha 16.06
_cell_angle_beta 16.06
_cell_angle_gamma 16.06
_symmetry_space_group_name_H-M 'P 1'
_symmetry_Int_Tables_number 1
loop_
_symmetry_equiv_pos_as_xyz
'x,y,z'
loop_
_atom_site_label
_atom_site_fract_x
_atom_site_fract_y
_atom_site_fract_z
_atom_site_occupancy
Bi1 0.205 0.205 0.205 1
Bi2 0.795 0.795 0.795 1
As1 0.911 0.911 0.911 1
As2 0.089 0.089 0.089 1
O1 0.695 0.695 0.695 1
O2 0.305 0.305 0.305 1
Cd1 0.363 0.363 0.363 1
Cd2 0.637 0.637 0.637 1
```

---

10.
First-principles (PBE-GGA) data for an optimized crystal structure of InW3S5, as listed in OQMD via LeMat-Bulk.

Values from the calculation:
V ... 21.5 Å³ per atom
Density ... 7.11 g/cm³
Total DFT energy (no corrections) ... -0.51164 Ry/atom

Structure (CIF):
```
data_InW3S5
_chemical_formula_sum 'In1 W3 S5'
_cell_length_a 5.591
_cell_length_b 5.591
_cell_length_c 7.132
_cell_angle_alpha 90.00
_cell_angle_beta 90.00
_cell_angle_gamma 120.00
_symmetry_space_group_name_H-M 'P 1'
_symmetry_Int_Tables_number 1
loop_
_symmetry_equiv_pos_as_xyz
'x,y,z'
loop_
_atom_site_label
_atom_site_fract_x
_atom_site_fract_y
_atom_site_fract_z
_atom_site_occupancy
W1 0.500 0.500 0.500 1
W2 0.000 0.500 0.500 1
W3 0.500 0.000 0.500 1
S1 0.667 0.333 0.240 1
S2 0.667 0.333 0.760 1
S3 0.000 0.000 0.500 1
S4 0.333 0.667 0.240 1
S5 0.333 0.667 0.760 1
In1 0.000 0.000 0.000 1
```

---

11.
First-principles (PBE-GGA) data for an optimized crystal structure of Gd2Ni12As7, as listed in OQMD via LeMat-Bulk.

Values from the calculation:
V ... 13.9 Å³ per atom
Density ... 8.80 g/cm³
Total DFT energy (no corrections) ... -0.42114 Ry/atom

Structure (CIF):
```
data_Gd2Ni12As7
_chemical_formula_sum 'Gd2 Ni12 As7'
_cell_length_a 9.355
_cell_length_b 9.355
_cell_length_c 3.842
_cell_angle_alpha 90.00
_cell_angle_beta 90.00
_cell_angle_gamma 120.00
_symmetry_space_group_name_H-M 'P 1'
_symmetry_Int_Tables_number 1
loop_
_symmetry_equiv_pos_as_xyz
'x,y,z'
loop_
_atom_site_label
_atom_site_fract_x
_atom_site_fract_y
_atom_site_fract_z
_atom_site_occupancy
As1 0.713 0.115 0.000 1
As2 0.298 0.893 0.500 1
As3 0.402 0.287 0.000 1
As4 0.107 0.406 0.500 1
As5 0.594 0.702 0.500 1
As6 0.885 0.598 0.000 1
As7 0.000 0.000 0.000 1
Ni1 0.049 0.624 0.500 1
Ni2 0.376 0.425 0.500 1
Ni3 0.721 0.870 0.000 1
Ni4 0.130 0.850 0.000 1
Ni5 0.209 0.096 0.500 1
Ni6 0.575 0.951 0.500 1
Ni7 0.620 0.562 0.000 1
Ni8 0.904 0.113 0.500 1
Ni9 0.942 0.380 0.000 1
Ni10 0.887 0.791 0.500 1
Ni11 0.438 0.058 0.000 1
Ni12 0.150 0.279 0.000 1
Gd1 0.333 0.667 0.000 1
Gd2 0.667 0.333 0.500 1
```

---

12.
First-principles (PBE-GGA) data for an optimized crystal structure of BePtNO, as listed in OQMD via LeMat-Bulk.

Values from the calculation:
V ... 9.8 Å³ per atom
Density ... 9.93 g/cm³
Energy relative to the lowest polymorph listed for this composition ... 0.130 eV/atom
Total DFT energy (no corrections) ... -0.46148 Ry/atom

Structure (CIF):
```
data_BePtNO
_chemical_formula_sum 'Be2 Pt2 N2 O2'
_cell_length_a 2.774
_cell_length_b 4.736
_cell_length_c 5.958
_cell_angle_alpha 90.00
_cell_angle_beta 90.00
_cell_angle_gamma 90.00
_symmetry_space_group_name_H-M 'P 1'
_symmetry_Int_Tables_number 1
loop_
_symmetry_equiv_pos_as_xyz
'x,y,z'
loop_
_atom_site_label
_atom_site_fract_x
_atom_site_fract_y
_atom_site_fract_z
_atom_site_occupancy
Pt1 0.000 0.505 0.402 1
Pt2 0.000 0.005 0.598 1
Be1 0.500 0.008 0.120 1
Be2 0.500 0.508 0.880 1
O1 0.500 0.845 0.889 1
O2 0.500 0.345 0.111 1
N1 0.000 0.895 0.276 1
N2 0.000 0.395 0.724 1
```

---

The lowest density belongs to which entry?
RbTmB